Computed, not measured: crystalline AcTmTlZn at its relaxed geometry at the PBE-GGA level of DFT.

The structure in CIF format:
```
data_AcTmTlZn
_chemical_formula_sum 'Ac4 Tm4 Tl4 Zn4'
_symmetry_space_group_name_H-M 'F -4 3 m'
_symmetry_Int_Tables_number 216
_symmetry_space_group_name_Hall 'F -4 2 3'
_cell_length_a 7.7353
_cell_length_b 7.7353
_cell_length_c 7.7353
_cell_angle_alpha 90.00
_cell_angle_beta 90.00
_cell_angle_gamma 90.00
loop_
_atom_site_label
_atom_site_fract_x
_atom_site_fract_y
_atom_site_fract_z
_atom_site_occupancy
Ac1 0.0000 0.0000 0.0000 1
Tm1 0.0000 0.0000 0.5000 1
Tl1 0.2500 0.2500 0.7500 1
Zn1 0.2500 0.2500 0.2500 1
```

Properties
DFT total energy = -3.30 eV per atom
N(E_F) = 16.2 states/eV per cell
Total magnetization = 0.00 μB per formula unit